The following is a PBE calculation of crystalline UAg5S5 at its relaxed geometry, from Alexandria.

Output
ΔE_f (raw) = -0.386 eV/atom
Total moment = 2.1 μB per cell
Crystal system = monoclinic

Lattice parameters (Å, degrees): 12.4591 5.3379 7.5858 90.00 110.97 90.00
With the nearest neighbours (Å) after each atom.
Space group C2/m (No. 12)
Symmetry-distinct sites (fractional):
1 U 0.0000 0.0000 0.0000 [2 per cell]  6 S 2.66-2.67
2 Ag 0.0000 0.0000 0.5000 [2 per cell]  2 S 2.40
3 Ag 0.1526 0.5000 0.8305 [4 per cell]  4 S 2.64-2.67
4 Ag 0.1676 0.5000 0.3242 [4 per cell]  5 S 2.59-2.88
5 S 0.0000 0.5000 0.0000 [2 per cell]  4 Ag 2.59-2.65, 2 U 2.67
6 S 0.1443 0.0000 0.8117 [4 per cell]  3 Ag 2.40-2.67, 1 U 2.67
7 S 0.1844 0.0000 0.3164 [4 per cell]  4 Ag 2.64-2.69, 1 U 2.66

The following is a PBE calculation of crystalline U2Ag4S5 at its relaxed geometry, from Alexandria.

Output
ΔE_f (raw) = -0.503 eV/atom
Total moment = 14.9 μB per cell
Crystal system = trigonal

Lattice parameters (Å, degrees): 4.0457 4.0457 51.1944 90.00 90.00 120.00
With the nearest neighbours (Å) after each atom.
Space group R-3m (No. 166, hexagonal axes)
Symmetry-distinct sites (fractional):
1 U 0.0000 0.0000 0.1378 [6 per cell]  6 S 2.76-2.77
2 Ag 0.0000 0.0000 0.3102 [6 per cell]  3 S 2.42
3 Ag 0.0000 0.0000 0.4167 [6 per cell]  4 S 2.44-2.67
4 S 0.0000 0.0000 0.2246 [6 per cell]  3 Ag 2.67, 3 U 2.77
5 S 0.0000 0.0000 0.3690 [6 per cell]  4 Ag 2.42-2.44
6 S 0.0000 0.0000 0.5000 [3 per cell]  6 U 2.76

The following is a PBE calculation of crystalline U4AgS8 at its relaxed geometry, from Alexandria.

Output
ΔE_f (raw) = -1.218 eV/atom
Total moment = 18.0 μB per cell
Crystal system = monoclinic

Lattice parameters (Å, degrees): 12.6189 7.9832 9.3106 90.00 132.13 90.00
With the nearest neighbours (Å) after each atom.
Space group C2/m (No. 12)
Symmetry-distinct sites (fractional):
1 U 0.0000 0.2479 0.0000 [4 per cell]  6 S 2.69-2.72
2 U 0.2376 0.5000 0.5017 [4 per cell]  6 S 2.68-2.72
3 Ag 0.0000 0.0000 0.5000 [2 per cell]  6 S 2.78-2.88
4 S 0.0550 0.2362 0.3370 [8 per cell]  3 U 2.71-2.72, 1 Ag 2.78
5 S 0.1937 0.0000 0.1567 [4 per cell]  3 U 2.68-2.69
6 S 0.1957 0.5000 0.1762 [4 per cell]  3 U 2.70-2.72, 1 Ag 2.88

The following is a PBE calculation of crystalline UAg5S8 at its relaxed geometry, from Alexandria.

Output
ΔE_f (raw) = -0.172 eV/atom
Total moment = 2.0 μB per cell
Crystal system = tetragonal

Lattice parameters (Å, degrees): 10.5652 10.5652 5.4085 90.00 90.00 90.00
With the nearest neighbours (Å) after each atom.
Space group I-4 (No. 82)
Symmetry-distinct sites (fractional):
1 U 0.0000 0.0000 0.0000 [2 per cell]  8 S 2.66-2.72
2 Ag 0.0000 0.5000 0.7500 [2 per cell]  4 Ag 2.94
3 Ag 0.0958 0.6476 0.3286 [8 per cell]  3 S 2.64-2.72, 3 Ag 2.76-2.94
4 S 0.0434 0.8292 0.6487 [8 per cell]  1 S 2.08
5 S 0.1635 0.8024 0.9489 [8 per cell]  1 S 2.08

The following is a PBE calculation of crystalline UV2Ag2S6 at its relaxed geometry, from Alexandria.

Output
ΔE_f (raw) = -0.806 eV/atom
Total moment = 12.0 μB per cell
Crystal system = monoclinic

Lattice parameters (Å, degrees): 6.3490 10.7806 6.7218 90.00 91.96 90.00
With the nearest neighbours (Å) after each atom.
Space group C2/m (No. 12)
Symmetry-distinct sites (fractional):
1 U 0.0000 0.0000 0.0000 [2 per cell]  6 S 2.66-2.69
2 V 0.0000 0.3490 0.0000 [4 per cell]  6 S 2.40-2.51
3 Ag 0.0000 0.1351 0.5000 [4 per cell]  2 S 2.44
4 S 0.1557 0.5000 0.2215 [4 per cell]  2 V 2.40
5 S 0.1887 0.1838 0.1996 [8 per cell]  1 Ag 2.44, 2 V 2.45-2.51, 1 U 2.66

The following is a PBE calculation of crystalline Y2UAg2S6 at its relaxed geometry, from Alexandria.

Output
ΔE_f (raw) = -1.314 eV/atom
Total moment = 4.0 μB per cell
Crystal system = monoclinic

Lattice parameters (Å, degrees): 6.9722 12.1660 6.5428 90.00 98.26 90.00
With the nearest neighbours (Å) after each atom.
Space group C2/m (No. 12)
Symmetry-distinct sites (fractional):
1 Y 0.0000 0.1648 0.0000 [4 per cell]  6 S 2.74-2.76
2 U 0.0000 0.5000 0.0000 [2 per cell]  6 S 2.68-2.73
3 Ag 0.0000 0.3772 0.5000 [4 per cell]  2 S 2.48
4 S 0.1940 0.3336 0.2206 [8 per cell]  1 Ag 2.48, 1 U 2.73, 2 Y 2.74-2.75
5 S 0.2057 0.0000 0.2232 [4 per cell]  1 U 2.68, 2 Y 2.76, 2 Ag 2.94

The following is a PBE calculation of crystalline VAg7S6 at its relaxed geometry, from Alexandria.

Output
ΔE_f (raw) = -0.136 eV/atom
Total moment = 0.0 μB per cell
Crystal system = orthorhombic

Lattice parameters (Å, degrees): 5.9246 12.6856 16.0902 90.00 90.00 90.00
With the nearest neighbours (Å) after each atom.
Space group Ibam (No. 72)
Symmetry-distinct sites (fractional):
1 V 0.0000 0.0000 0.2500 [4 per cell]  4 S 2.20
2 Ag 0.0000 0.5000 0.2500 [4 per cell]  4 S 2.55
3 Ag 0.0556 0.2374 0.0962 [16 per cell]  4 S 2.58-2.75
4 Ag 0.2258 0.0650 0.5000 [8 per cell]  4 S 2.54-2.82
5 S 0.1800 0.3696 0.5000 [8 per cell]  6 Ag 2.54-2.82
6 S 0.2036 0.1018 0.3317 [16 per cell]  1 V 2.20

The following is a PBE calculation of crystalline V3AgS at its relaxed geometry, from Alexandria.

Output
ΔE_f (raw) = 1.659 eV/atom
Total moment = 8.0 μB per cell
Polymorph energy (0 for the lowest one) = 1489 meV per atom
Crystal system = cubic

Lattice parameters (Å, degrees): 4.8629 4.8629 4.8629 90.00 90.00 90.00
With the nearest neighbours (Å) after each atom.
Space group Pm-3m (No. 221)
Symmetry-distinct sites (fractional):
1 V 0.0000 0.0000 0.5000 [3 per cell]  2 Ag 2.43
2 Ag 0.0000 0.0000 0.0000 [1 per cell]  6 V 2.43
3 S 0.5000 0.5000 0.5000 [1 per cell]  12 V 3.44

The following is a PBE calculation of crystalline VAg2S2 at its relaxed geometry, from Alexandria.

Output
ΔE_f (raw) = -0.139 eV/atom
Total moment = 1.8 μB per cell
Polymorph energy (0 for the lowest one) = 0 meV per atom
Crystal system = tetragonal

Lattice parameters (Å, degrees): 6.1407 6.1407 4.8403 90.00 90.00 90.00
With the nearest neighbours (Å) after each atom.
Space group P4/mbm (No. 127)
Symmetry-distinct sites (fractional):
1 V 0.0000 0.0000 0.0000 [2 per cell]  4 S 2.29
2 Ag 0.2354 0.2646 0.5000 [4 per cell]  2 S 2.50
3 S 0.1650 0.3350 0.0000 [4 per cell]  2 V 2.29, 2 Ag 2.50

The following is a PBE calculation of crystalline VAgS at its relaxed geometry, from Alexandria.

Output
ΔE_f (raw) = -0.294 eV/atom
Total moment = 3.9 μB per cell
Crystal system = tetragonal

Lattice parameters (Å, degrees): 3.0481 3.0481 11.3499 90.00 90.00 90.00
With the nearest neighbours (Å) after each atom.
Space group P4/nmm (No. 129, origin choice 2)
Symmetry-distinct sites (fractional):
1 V 0.2500 0.2500 0.2338 [2 per cell]  4 S 2.38
2 Ag 0.2500 0.2500 0.5850 [2 per cell]  8 Ag 2.89-3.05, 4 V 2.98, 1 S 3.07
3 S 0.2500 0.2500 0.8559 [2 per cell]  4 V 2.38

The following is a PBE calculation of crystalline VAg8S6 at its relaxed geometry, from Alexandria.

Output
ΔE_f (raw) = -0.181 eV/atom
Total moment = 2.0 μB per cell
Crystal system = orthorhombic

Lattice parameters (Å, degrees): 7.6828 7.5261 10.6225 90.00 90.00 90.00
With the nearest neighbours (Å) after each atom.
Space group Pmn2_1 (No. 31)
Symmetry-distinct sites (fractional):
1 V 0.0000 0.2369 0.0000 [2 per cell]  4 S 2.24
2 Ag 0.0000 0.8060 0.9537 [2 per cell]  2 S 2.44-2.51
3 Ag 0.0000 0.8764 0.5095 [2 per cell]  4 S 2.59-2.68
4 Ag 0.2009 0.9780 0.7489 [4 per cell]  3 S 2.55-2.61
5 Ag 0.2032 0.3942 0.3447 [4 per cell]  4 S 2.57-2.81
6 Ag 0.2229 0.3489 0.6307 [4 per cell]  2 S 2.46-2.53
7 S 0.0000 0.0066 0.1339 [2 per cell]  1 V 2.24, 1 Ag 2.44
8 S 0.0000 0.2193 0.4921 [2 per cell]  5 Ag 2.46-2.59
9 S 0.0000 0.4705 0.1313 [2 per cell]  1 V 2.24
10 S 0.0000 0.7021 0.7294 [2 per cell]  6 Ag 2.51-2.69
11 S 0.2408 0.2572 0.8825 [4 per cell]  1 V 2.24

The following is a PBE calculation of crystalline VAg2S at its relaxed geometry, from Alexandria.

Output
ΔE_f (raw) = 0.302 eV/atom
Total moment = 11.1 μB per cell
Crystal system = tetragonal

Lattice parameters (Å, degrees): 8.3287 8.3287 4.6289 90.00 90.00 90.00
With the nearest neighbours (Å) after each atom.
Space group I-42d (No. 122)
Symmetry-distinct sites (fractional):
1 V 0.0000 0.0000 0.0000 [4 per cell]  2 S 2.31
2 Ag 0.1698 0.2500 0.6250 [8 per cell]  2 S 2.58, 2 Ag 2.67
3 S 0.0000 0.0000 0.5000 [4 per cell]  2 V 2.31, 4 Ag 2.58

The following is a PBE calculation of crystalline VAg2S2 at its relaxed geometry, from Alexandria.

Output
ΔE_f (raw) = 0.254 eV/atom
Total moment = 6.0 μB per cell
Polymorph energy (0 for the lowest one) = 392 meV per atom
Crystal system = tetragonal

Lattice parameters (Å, degrees): 3.6853 3.6853 13.7083 90.00 90.00 90.00
With the nearest neighbours (Å) after each atom.
Space group I4/mmm (No. 139)
Symmetry-distinct sites (fractional):
1 V 0.0000 0.0000 0.0000 [2 per cell]  8 S 2.94
2 Ag 0.0000 0.5000 0.2500 [4 per cell]  4 Ag 2.61, 4 S 2.77
3 S 0.0000 0.0000 0.4011 [4 per cell]  1 S 2.71, 4 Ag 2.77, 4 V 2.94

The following is a PBE calculation of crystalline VAg2S5 at its relaxed geometry, from Alexandria.

Output
ΔE_f (raw) = -0.222 eV/atom
Total moment = 0.7 μB per cell
Crystal system = triclinic

Lattice parameters (Å, degrees): 4.7474 6.4321 6.6892 63.17 81.40 77.42
With the nearest neighbours (Å) after each atom.
Space group P1 (No. 1)
Symmetry-distinct sites (fractional):
1 V 0.0000 0.0000 0.0000 [1 per cell]  5 S 2.22-2.34
2 Ag 0.3594 0.2217 0.3103 [1 per cell]  4 S 2.55-2.69
3 Ag 0.9191 0.6705 0.6169 [1 per cell]  4 S 2.45-2.67
4 S 0.2656 0.2566 0.7009 [1 per cell]  1 S 2.12, 1 V 2.34
5 S 0.3765 0.6842 0.0875 [1 per cell]  1 S 2.10, 1 V 2.31
6 S 0.6700 0.2966 0.7635 [1 per cell]  1 S 2.12, 1 V 2.30
7 S 0.8168 0.7006 0.9969 [1 per cell]  1 S 2.10, 1 V 2.29
8 S 0.9135 0.0649 0.3049 [1 per cell]  1 V 2.22, 1 Ag 2.45

The following is a PBE calculation of crystalline VAgS3 at its relaxed geometry, from Alexandria.

Output
ΔE_f (raw) = -0.036 eV/atom
Total moment = 0.1 μB per cell
Crystal system = cubic

Lattice parameters (Å, degrees): 4.6005 4.6005 4.6005 90.00 90.00 90.00
With the nearest neighbours (Å) after each atom.
Space group Pm-3m (No. 221)
Symmetry-distinct sites (fractional):
1 V 0.0000 0.0000 0.0000 [1 per cell]  6 S 2.30
2 Ag 0.5000 0.5000 0.5000 [1 per cell]  12 S 3.25
3 S 0.0000 0.0000 0.5000 [3 per cell]  2 V 2.30

The following is a PBE calculation of crystalline V2AgS at its relaxed geometry, from Alexandria.

Output
ΔE_f (raw) = 0.492 eV/atom
Total moment = 0.0 μB per cell
Crystal system = tetragonal

Lattice parameters (Å, degrees): 4.0781 4.0781 16.7876 90.00 90.00 90.00
With the nearest neighbours (Å) after each atom.
Space group I-42d (No. 122)
Symmetry-distinct sites (fractional):
1 V 0.1023 0.2500 0.1250 [8 per cell]  2 V 2.20, 2 S 2.37
2 Ag 0.0000 0.0000 0.5000 [4 per cell]  4 V 2.84, 4 S 2.88
3 S 0.0000 0.0000 0.0000 [4 per cell]  4 V 2.37

The following is a PBE calculation of crystalline VAg3S at its relaxed geometry, from Alexandria.

Output
ΔE_f (raw) = 0.815 eV/atom
Total moment = 4.2 μB per cell
Polymorph energy (0 for the lowest one) = 0 meV per atom
Crystal system = cubic

Lattice parameters (Å, degrees): 4.8139 4.8139 4.8139 90.00 90.00 90.00
With the nearest neighbours (Å) after each atom.
Space group Pm-3m (No. 221)
Symmetry-distinct sites (fractional):
1 V 0.0000 0.0000 0.0000 [1 per cell]  12 Ag 3.40
2 Ag 0.0000 0.5000 0.5000 [3 per cell]  2 S 2.41
3 S 0.5000 0.5000 0.5000 [1 per cell]  6 Ag 2.41

The following is a PBE calculation of crystalline VAgS3 at its relaxed geometry, from Alexandria.

Output
ΔE_f (raw) = 0.847 eV/atom
Total moment = 1.9 μB per cell
Crystal system = cubic

Lattice parameters (Å, degrees): 4.7751 4.7751 4.7751 90.00 90.00 90.00
With the nearest neighbours (Å) after each atom.
Space group Pm-3m (No. 221)
Symmetry-distinct sites (fractional):
1 V 0.0000 0.0000 0.0000 [1 per cell]  12 S 3.38
2 Ag 0.5000 0.5000 0.5000 [1 per cell]  6 S 2.39
3 S 0.0000 0.5000 0.5000 [3 per cell]  2 Ag 2.39

The following is a PBE calculation of crystalline VAgS3 at its relaxed geometry, from Alexandria.

Output
ΔE_f (raw) = -0.423 eV/atom
Total moment = 0.0 μB per cell
Crystal system = trigonal

Lattice parameters (Å, degrees): 6.1668 6.1668 17.6930 90.00 90.00 120.00
With the nearest neighbours (Å) after each atom.
Space group R-3 (No. 148, hexagonal axes)
Symmetry-distinct sites (fractional):
1 V 0.0000 0.0000 0.1850 [6 per cell]  3 S 2.22
2 Ag 0.0000 0.0000 0.3602 [6 per cell]  3 S 2.55
3 S 0.0072 0.6350 0.5741 [18 per cell]  1 V 2.22

The following is a PBE calculation of crystalline V3AgS at its relaxed geometry, from Alexandria.

Output
ΔE_f (raw) = 0.170 eV/atom
Total moment = 4.2 μB per cell
Polymorph energy (0 for the lowest one) = 0 meV per atom
Crystal system = cubic

Lattice parameters (Å, degrees): 4.3369 4.3369 4.3369 90.00 90.00 90.00
With the nearest neighbours (Å) after each atom.
Space group Pm-3m (No. 221)
Symmetry-distinct sites (fractional):
1 V 0.0000 0.0000 0.5000 [3 per cell]  2 S 2.17
2 Ag 0.5000 0.5000 0.5000 [1 per cell]  12 V 3.07
3 S 0.0000 0.0000 0.0000 [1 per cell]  6 V 2.17